Entry 1:
## Nd2Y3Th2 (GGA-PBE)

Data for a relaxed Nd2Y3Th2 crystal.

Results
ΔE to the lowest computed polymorph (eV/atom): 0.102
Calculated volume (Å³ per cell): 233
E_form (eV/atom): 0.147
Spin magnetization (Bohr magnetons per cell): 0.00
Mass density (g/cm3): 7.25

Lattice parameters (Å, degrees): 3.4682 8.7157 9.0463 118.95 101.05 90.00
Fractional positions:
Th 0.1541 0.3530 0.3082
Th 0.8459 0.6470 0.6918
Y 0.0000 0.5000 0.0000
Y 0.7838 0.2024 0.5675
Y 0.2162 0.7976 0.4325
Nd 0.5622 0.9109 0.1244
Nd 0.4378 0.0891 0.8756

=====

Entry 2:
## NdY14Th (GGA-PBE)

Data for a relaxed NdY14Th crystal.

Results
Calculated volume (Å³ per cell): 520
E_form (eV/atom): 0.025
Spin magnetization (Bohr magnetons per cell): 0.00
Mass density (g/cm3): 5.17

Lattice parameters (Å, degrees): 7.1748 7.1748 10.1061 90.00 90.00 90.01
Fractional positions:
Y 0.1223 0.8777 0.2491
Y 0.1223 0.3723 0.2491
Y 0.3750 0.1250 0.0000
Y 0.6277 0.3723 0.2491
Y 0.1223 0.3723 0.7509
Y 0.6277 0.8777 0.7509
Y 0.3751 0.1251 0.5000
Y 0.6277 0.3723 0.7509
Y 0.6277 0.8777 0.2491
Y 0.8749 0.6249 0.5000
Y 0.8751 0.1249 0.5000
Y 0.1223 0.8777 0.7509
Y 0.8750 0.6250 0.0000
Y 0.3749 0.6251 0.5000
Nd 0.3750 0.6250 0.0000
Th 0.8750 0.1250 0.0000

=====

Entry 3:
## Nd4YTh2 (GGA-PBE)

Data for a relaxed Nd4YTh2 crystal.

Results
Calculated volume (Å³ per cell): 238
E_form (eV/atom): 0.036
Spin magnetization (Bohr magnetons per cell): 0.00
Mass density (g/cm3): 7.89

Lattice parameters (Å, degrees): 3.6374 3.6374 20.8731 85.00 85.00 60.00
Fractional positions:
Nd 0.7150 0.7150 0.8550
Nd 0.1410 0.1410 0.5769
Nd 0.8590 0.8590 0.4231
Nd 0.2850 0.2850 0.1450
Th 0.5717 0.5717 0.2849
Th 0.4283 0.4283 0.7151
Y 0.0000 0.0000 0.0000

=====

Entry 4:
## Nd3Y7Th (GGA-PBE)

Data for a relaxed Nd3Y7Th crystal.

Results
ΔE to the lowest computed polymorph (eV/atom): 0.023
Calculated volume (Å³ per cell): 386
E_form (eV/atom): 0.180
Spin magnetization (Bohr magnetons per cell): 0.00
Mass density (g/cm3): 5.54

Lattice parameters (Å, degrees): 8.7853 7.1218 7.1218 120.00 90.00 90.00
Fractional positions:
Y 0.1220 0.1688 0.3376
Y 0.4470 0.8330 0.6659
Y 0.1220 0.1688 0.8312
Y 0.1197 0.6667 0.3333
Y 0.4470 0.3341 0.1670
Y 0.4470 0.8330 0.1670
Y 0.1220 0.6624 0.8312
Nd 0.7806 0.4978 0.5022
Nd 0.7806 0.0044 0.5022
Nd 0.7806 0.4978 0.9956
Th 0.4466 0.3333 0.6667

=====

Entry 5:
## NdY2Th6 (GGA-PBE)

Data for a relaxed NdY2Th6 crystal.

Results
Calculated volume (Å³ per cell): 310
E_form (eV/atom): 0.284
Spin magnetization (Bohr magnetons per cell): 0.00
Mass density (g/cm3): 9.19

Lattice parameters (Å, degrees): 9.2738 7.0681 8.3098 115.17 45.25 90.00
Fractional positions:
Th 0.7987 0.1621 0.8475
Th 0.2013 0.3146 0.1525
Th 0.2013 0.8379 0.1525
Th 0.3580 0.6715 0.3431
Th 0.7987 0.6854 0.8475
Th 0.6420 0.3285 0.6569
Nd 0.0000 0.0000 0.0000
Y 0.2926 0.2936 0.5872
Y 0.7074 0.7064 0.4128

=====

Entry 6:
## Nd6Y3Th (GGA-PBE)

Data for a relaxed Nd6Y3Th crystal.

Results
ΔE to the lowest computed polymorph (eV/atom): 0.000
Calculated volume (Å³ per cell): 681
E_form (eV/atom): 0.022
Spin magnetization (Bohr magnetons per cell): 0.00
Mass density (g/cm3): 6.66

Lattice parameters (Å, degrees): 3.6477 6.2970 29.9230 86.04 97.00 89.94
Fractional positions:
Y 0.2031 0.5979 0.7004
Y 0.0000 0.0000 0.5000
Y 0.7969 0.4021 0.2996
Y 0.5000 0.5000 0.0000
Y 0.3007 0.2325 0.7986
Y 0.6993 0.7675 0.2014
Nd 0.0972 0.6379 0.0993
Nd 0.1982 0.2677 0.2010
Nd 0.0978 0.3077 0.5983
Nd 0.8018 0.7323 0.7990
Nd 0.7031 0.0969 0.7004
Nd 0.4036 0.8713 0.9016
Nd 0.5989 0.7972 0.5988
Nd 0.9028 0.3621 0.9007
Nd 0.4011 0.2028 0.4012
Nd 0.2969 0.9031 0.2996
Nd 0.9022 0.6923 0.4017
Nd 0.5964 0.1287 0.0984
Th 0.0000 0.0000 0.0000
Th 0.5000 0.5000 0.5000